## HfCoCuIr (PBE)

Data for a relaxed HfCoCuIr crystal. Values from VASP.

Structure (Quantum ESPRESSO input):
```
&SYSTEM
  ibrav = 0, nat = 16, ntyp = 4
/
ATOMIC_SPECIES
Hf 178.49 Hf.upf
Co 58.93 Co.upf
Cu 63.55 Cu.upf
Ir 192.22 Ir.upf
CELL_PARAMETERS angstrom
6.1534 0.0000 0.0000
0.0000 6.1534 0.0000
0.0000 0.0000 6.1534
ATOMIC_POSITIONS crystal
Hf 0.0000 0.0000 0.0000
Hf 0.0000 0.5000 0.5000
Hf 0.5000 0.0000 0.5000
Hf 0.5000 0.5000 0.0000
Co 0.2500 0.2500 0.2500
Co 0.2500 0.7500 0.7500
Co 0.7500 0.2500 0.7500
Co 0.7500 0.7500 0.2500
Cu 0.0000 0.0000 0.5000
Cu 0.0000 0.5000 0.0000
Cu 0.5000 0.0000 0.0000
Cu 0.5000 0.5000 0.5000
Ir 0.2500 0.2500 0.7500
Ir 0.2500 0.7500 0.2500
Ir 0.7500 0.2500 0.2500
Ir 0.7500 0.7500 0.7500
```

Output
**Formation enthalpy at 0 K**: -0.31 eV/atom
**Space group**: No. 216

***

## TlF (PBE)

Data for a relaxed TlF crystal. Values from VASP.

Structure (Quantum ESPRESSO input):
```
&SYSTEM
  ibrav = 0, nat = 16, ntyp = 2
/
ATOMIC_SPECIES
Tl 204.38 Tl.upf
F 19.00 F.upf
CELL_PARAMETERS angstrom
11.0949 0.0000 0.0000
0.0000 11.0949 0.0000
0.0000 0.0000 3.8810
ATOMIC_POSITIONS crystal
Tl 0.0739 0.2503 0.0000
Tl 0.2497 0.5739 0.5000
Tl 0.2503 0.9261 0.0000
Tl 0.4261 0.2497 0.5000
Tl 0.5739 0.7503 0.5000
Tl 0.7497 0.0739 0.0000
Tl 0.7503 0.4261 0.5000
Tl 0.9261 0.7497 0.0000
F 0.1318 0.6534 0.0000
F 0.1534 0.3682 0.5000
F 0.3466 0.1318 0.0000
F 0.3682 0.8466 0.5000
F 0.6318 0.1534 0.5000
F 0.6534 0.8682 0.0000
F 0.8466 0.6318 0.5000
F 0.8682 0.3466 0.0000
```

Output
**Formation energy without anion corrections**: -1.710 eV/atom
**Space group**: No. 87

***

## NaHfCo2 (PBE)

Data for a relaxed NaHfCo2 crystal. Values from VASP.

Structure (Quantum ESPRESSO input):
```
&SYSTEM
  ibrav = 0, nat = 16, ntyp = 3
/
ATOMIC_SPECIES
Na 22.99 Na.upf
Hf 178.49 Hf.upf
Co 58.93 Co.upf
CELL_PARAMETERS angstrom
6.8794 0.0000 0.0000
0.0000 6.8794 0.0000
0.0000 0.0000 5.5800
ATOMIC_POSITIONS crystal
Na 0.0000 0.0000 0.0000
Na 0.0000 0.5000 0.2500
Na 0.5000 0.0000 0.7500
Na 0.5000 0.5000 0.5000
Hf 0.0000 0.0000 0.5000
Hf 0.0000 0.5000 0.7500
Hf 0.5000 0.0000 0.2500
Hf 0.5000 0.5000 0.0000
Co 0.2367 0.2500 0.6250
Co 0.2500 0.7367 0.8750
Co 0.2500 0.7633 0.3750
Co 0.2633 0.2500 0.1250
Co 0.7367 0.7500 0.1250
Co 0.7500 0.2367 0.3750
Co 0.7500 0.2633 0.8750
Co 0.7633 0.7500 0.6250
```

Output
**Formation enthalpy at 0 K**: 0.72 eV/atom
**Space group**: No. 122

***

## ErSc2Sb3 (PBE)

Data for a relaxed ErSc2Sb3 crystal. Values from VASP.

Structure (Quantum ESPRESSO input):
```
&SYSTEM
  ibrav = 0, nat = 24, ntyp = 3
/
ATOMIC_SPECIES
Er 167.26 Er.upf
Sc 44.96 Sc.upf
Sb 121.76 Sb.upf
CELL_PARAMETERS angstrom
8.4382 0.0000 0.0000
0.0000 5.9943 0.0000
0.0000 0.0000 12.7066
ATOMIC_POSITIONS crystal
Er 0.1261 0.2500 0.0795
Er 0.3739 0.7500 0.5795
Er 0.6261 0.2500 0.4205
Er 0.8739 0.7500 0.9205
Sc 0.1242 0.2500 0.4150
Sc 0.1252 0.2500 0.7548
Sc 0.3748 0.7500 0.2548
Sc 0.3758 0.7500 0.9150
Sc 0.6242 0.2500 0.0850
Sc 0.6252 0.2500 0.7452
Sc 0.8748 0.7500 0.2452
Sc 0.8758 0.7500 0.5850
Sb 0.1158 0.7500 0.4127
Sb 0.1249 0.7500 0.7507
Sb 0.1341 0.7500 0.0866
Sb 0.3659 0.2500 0.5866
Sb 0.3751 0.2500 0.2507
Sb 0.3842 0.2500 0.9127
Sb 0.6158 0.7500 0.0873
Sb 0.6249 0.7500 0.7493
Sb 0.6341 0.7500 0.4134
Sb 0.8659 0.2500 0.9134
Sb 0.8751 0.2500 0.2493
Sb 0.8842 0.2500 0.5873
```

Output
**Formation energy without anion corrections**: -0.978 eV/atom
**Space group**: No. 62

***

## SbAs2Au (PBE)

Data for a relaxed SbAs2Au crystal. Values from VASP.

Structure (Quantum ESPRESSO input):
```
&SYSTEM
  ibrav = 0, nat = 12, ntyp = 3
/
ATOMIC_SPECIES
Sb 121.76 Sb.upf
As 74.92 As.upf
Au 196.97 Au.upf
CELL_PARAMETERS angstrom
3.8578 0.0000 0.0000
-1.9289 3.3409 0.0000
0.0000 0.0000 20.5841
ATOMIC_POSITIONS crystal
Sb 0.0000 0.0000 0.0000
Sb 0.3333 0.6667 0.6667
Sb 0.6667 0.3333 0.3333
As 0.0000 0.0000 0.5003
As 0.0000 0.0000 0.7572
As 0.3333 0.6667 0.1670
As 0.3333 0.6667 0.4239
As 0.6667 0.3333 0.0905
As 0.6667 0.3333 0.8336
Au 0.0000 0.0000 0.2461
Au 0.3333 0.6667 0.9128
Au 0.6667 0.3333 0.5794
```

Output
**Formation energy without anion corrections**: 0.049 eV/atom
**Space group**: No. 160

***

## La5W (PBE)

Data for a relaxed La5W crystal. Values from VASP.

Structure (Quantum ESPRESSO input):
```
&SYSTEM
  ibrav = 0, nat = 6, ntyp = 2
/
ATOMIC_SPECIES
La 138.91 La.upf
W 183.84 W.upf
CELL_PARAMETERS angstrom
6.1867 0.0000 0.0000
-3.0933 5.3578 0.0000
0.0000 0.0000 6.0076
ATOMIC_POSITIONS crystal
La 0.0000 0.5000 0.0000
La 0.3333 0.6667 0.5000
La 0.5000 0.0000 0.0000
La 0.5000 0.5000 0.0000
La 0.6667 0.3333 0.5000
W 0.0000 0.0000 0.5000
```

Output
**Formation enthalpy at 0 K**: 1.05 eV/atom
**Space group**: No. 191

***

## Sr4InBr (PBE)

Data for a relaxed Sr4InBr crystal. Values from VASP.

Structure (Quantum ESPRESSO input):
```
&SYSTEM
  ibrav = 0, nat = 6, ntyp = 3
/
ATOMIC_SPECIES
Sr 87.62 Sr.upf
In 114.82 In.upf
Br 79.90 Br.upf
CELL_PARAMETERS angstrom
0.0000 5.1896 5.1896
5.1896 0.0000 5.1896
5.1896 5.1896 0.0000
ATOMIC_POSITIONS crystal
Sr 0.3759 0.3759 0.3759
Sr 0.3759 0.3759 0.8723
Sr 0.3759 0.8723 0.3759
Sr 0.8723 0.3759 0.3759
In 0.7500 0.7500 0.7500
Br 0.0000 0.0000 0.0000
```

Output
**Formation energy without anion corrections**: 0.059 eV/atom
**Space group**: No. 216

***

## La2MgAlIr2 (PBE)

Data for a relaxed La2MgAlIr2 crystal. Values from VASP.

Structure (Quantum ESPRESSO input):
```
&SYSTEM
  ibrav = 0, nat = 12, ntyp = 4
/
ATOMIC_SPECIES
La 138.91 La.upf
Mg 24.30 Mg.upf
Al 26.98 Al.upf
Ir 192.22 Ir.upf
CELL_PARAMETERS angstrom
-2.9482 7.5915 2.9757
2.9482 -7.5915 2.9757
2.9482 7.5915 -2.9757
ATOMIC_POSITIONS crystal
La 0.1700 0.2415 0.4116
La 0.3300 0.7415 0.0715
La 0.6700 0.2585 0.9285
La 0.8300 0.7585 0.5884
Mg 0.2500 0.2500 0.0000
Mg 0.7500 0.7500 0.0000
Al 0.2500 0.7500 0.5000
Al 0.7500 0.2500 0.5000
Ir 0.1128 0.7272 0.8401
Ir 0.3872 0.2272 0.6144
Ir 0.6128 0.7728 0.3856
Ir 0.8872 0.2728 0.1599
```

Output
**Formation enthalpy at 0 K**: -0.69 eV/atom
**Space group**: No. 72

***

## Rb2BaRhCl6 (PBE)

Data for a relaxed Rb2BaRhCl6 crystal. Values from VASP.

Structure (Quantum ESPRESSO input):
```
&SYSTEM
  ibrav = 0, nat = 10, ntyp = 4
/
ATOMIC_SPECIES
Rb 85.47 Rb.upf
Ba 137.33 Ba.upf
Rh 102.91 Rh.upf
Cl 35.45 Cl.upf
CELL_PARAMETERS angstrom
-3.7863 3.7863 5.7178
3.7863 -3.7863 5.7178
3.7863 3.7863 -5.7178
ATOMIC_POSITIONS crystal
Rb 0.2500 0.7500 0.5000
Rb 0.7500 0.2500 0.5000
Ba 0.0000 0.0000 0.0000
Rh 0.5000 0.5000 0.0000
Cl 0.2611 0.2611 0.0000
Cl 0.2781 0.2781 0.5562
Cl 0.2781 0.7219 0.0000
Cl 0.7219 0.2781 0.0000
Cl 0.7219 0.7219 0.4438
Cl 0.7389 0.7389 0.0000
```

Output
**Formation energy without anion corrections**: -1.565 eV/atom
**Space group**: No. 139

***

## Nb2NiRh3 (PBE)

Data for a relaxed Nb2NiRh3 crystal. Values from VASP.

Structure (Quantum ESPRESSO input):
```
&SYSTEM
  ibrav = 0, nat = 12, ntyp = 3
/
ATOMIC_SPECIES
Nb 92.91 Nb.upf
Ni 58.69 Ni.upf
Rh 102.91 Rh.upf
CELL_PARAMETERS angstrom
3.9333 0.0000 0.0000
0.0000 12.0199 0.0000
0.0000 0.0000 3.7828
ATOMIC_POSITIONS crystal
Nb 0.0000 0.1555 0.0000
Nb 0.0000 0.8445 0.0000
Nb 0.5000 0.3445 0.0000
Nb 0.5000 0.6555 0.0000
Ni 0.0000 0.5000 0.0000
Ni 0.5000 0.0000 0.0000
Rh 0.0000 0.0000 0.5000
Rh 0.0000 0.3356 0.5000
Rh 0.0000 0.6644 0.5000
Rh 0.5000 0.1644 0.5000
Rh 0.5000 0.5000 0.5000
Rh 0.5000 0.8356 0.5000
```

Output
**Formation enthalpy at 0 K**: -0.41 eV/atom
**Space group**: No. 65

***

## PmNdHo2As4 (PBE)

Data for a relaxed PmNdHo2As4 crystal. Values from VASP.

Structure (Quantum ESPRESSO input):
```
&SYSTEM
  ibrav = 0, nat = 8, ntyp = 4
/
ATOMIC_SPECIES
Pm 145.00 Pm.upf
Nd 144.24 Nd.upf
Ho 164.93 Ho.upf
As 74.92 As.upf
CELL_PARAMETERS angstrom
7.2325 0.0000 0.0000
0.0000 4.1814 0.0000
-2.4140 0.0000 6.8241
ATOMIC_POSITIONS crystal
Pm 0.0000 0.0000 0.0000
Nd 0.0000 0.5000 0.5000
Ho 0.5000 0.0000 0.5000
Ho 0.5000 0.5000 0.0000
As 0.2592 0.5000 0.2522
As 0.2599 0.0000 0.7542
As 0.7401 0.0000 0.2458
As 0.7408 0.5000 0.7478
```

Output
**Formation enthalpy at 0 K**: -1.52 eV/atom
**Space group**: No. 10

***

## CsNpRuS3 (PBE)

Data for a relaxed CsNpRuS3 crystal. Values from VASP.

Structure (Quantum ESPRESSO input):
```
&SYSTEM
  ibrav = 0, nat = 12, ntyp = 4
/
ATOMIC_SPECIES
Cs 132.91 Cs.upf
Np 237.00 Np.upf
Ru 101.07 Ru.upf
S 32.06 S.upf
CELL_PARAMETERS angstrom
9.3967 0.0000 0.0000
0.0000 3.9449 0.0000
-3.6969 0.0000 9.0088
ATOMIC_POSITIONS crystal
Cs 0.2072 0.2500 0.2432
Cs 0.7928 0.7500 0.7568
Np 0.3259 0.7500 0.8457
Np 0.6741 0.2500 0.1543
Ru 0.0809 0.2500 0.5948
Ru 0.9191 0.7500 0.4052
S 0.1364 0.2500 0.8534
S 0.1842 0.7500 0.5423
S 0.4692 0.7500 0.1469
S 0.5308 0.2500 0.8531
S 0.8158 0.2500 0.4577
S 0.8636 0.7500 0.1466
```

Output
**Formation energy without anion corrections**: -1.028 eV/atom
**Space group**: No. 11

***

## MgIrC2 (PBE)

Data for a relaxed MgIrC2 crystal. Values from VASP.

Structure (Quantum ESPRESSO input):
```
&SYSTEM
  ibrav = 0, nat = 16, ntyp = 3
/
ATOMIC_SPECIES
Mg 24.30 Mg.upf
Ir 192.22 Ir.upf
C 12.01 C.upf
CELL_PARAMETERS angstrom
4.9227 0.0000 0.0000
0.0000 4.9227 0.0000
0.0000 0.0000 9.2781
ATOMIC_POSITIONS crystal
Mg 0.0000 0.0000 0.0000
Mg 0.0000 0.5000 0.2500
Mg 0.5000 0.0000 0.7500
Mg 0.5000 0.5000 0.5000
Ir 0.0000 0.0000 0.5000
Ir 0.0000 0.5000 0.7500
Ir 0.5000 0.0000 0.2500
Ir 0.5000 0.5000 0.0000
C 0.1944 0.2500 0.6250
C 0.2500 0.6944 0.8750
C 0.2500 0.8056 0.3750
C 0.3056 0.2500 0.1250
C 0.6944 0.7500 0.1250
C 0.7500 0.1944 0.3750
C 0.7500 0.3056 0.8750
C 0.8056 0.7500 0.6250
```

Output
**Formation enthalpy at 0 K**: 0.69 eV/atom
**Space group**: No. 122

***

## ReOsBr3 (PBE)

Data for a relaxed ReOsBr3 crystal. Values from VASP.

Structure (Quantum ESPRESSO input):
```
&SYSTEM
  ibrav = 0, nat = 5, ntyp = 3
/
ATOMIC_SPECIES
Re 186.21 Re.upf
Os 190.23 Os.upf
Br 79.90 Br.upf
CELL_PARAMETERS angstrom
5.1116 0.0000 0.0000
0.0000 5.1116 0.0000
0.0000 0.0000 5.1116
ATOMIC_POSITIONS crystal
Re 0.0000 0.0000 0.0000
Os 0.5000 0.5000 0.5000
Br 0.0000 0.5000 0.5000
Br 0.5000 0.0000 0.5000
Br 0.5000 0.5000 0.0000
```

Output
**Formation energy without anion corrections**: 1.601 eV/atom
**Space group**: No. 221

***

## Zn3ReI (PBE)

Data for a relaxed Zn3ReI crystal. Values from VASP.

Structure (Quantum ESPRESSO input):
```
&SYSTEM
  ibrav = 0, nat = 5, ntyp = 3
/
ATOMIC_SPECIES
Zn 65.41 Zn.upf
Re 186.21 Re.upf
I 126.90 I.upf
CELL_PARAMETERS angstrom
5.0938 0.0000 0.0000
0.0000 5.0938 0.0000
0.0000 0.0000 5.0938
ATOMIC_POSITIONS crystal
Zn 0.0000 0.0000 0.5000
Zn 0.0000 0.5000 0.0000
Zn 0.5000 0.0000 0.0000
Re 0.0000 0.0000 0.0000
I 0.5000 0.5000 0.5000
```

Output
**Formation energy without anion corrections**: 0.883 eV/atom
**Space group**: No. 221

***

## SrMn2Co (PBE)

Data for a relaxed SrMn2Co crystal. Values from VASP.

Structure (Quantum ESPRESSO input):
```
&SYSTEM
  ibrav = 0, nat = 8, ntyp = 3
/
ATOMIC_SPECIES
Sr 87.62 Sr.upf
Mn 54.94 Mn.upf
Co 58.93 Co.upf
CELL_PARAMETERS angstrom
5.6985 0.0000 0.0000
0.0000 9.8547 0.0000
-1.3978 0.0000 2.5856
ATOMIC_POSITIONS crystal
Sr 0.0000 0.0000 0.0000
Sr 0.5000 0.5000 0.0000
Mn 0.2500 0.2500 0.5000
Mn 0.2500 0.7500 0.5000
Mn 0.7500 0.2500 0.5000
Mn 0.7500 0.7500 0.5000
Co 0.0000 0.5000 0.0000
Co 0.5000 0.0000 0.0000
```

Output
**Formation enthalpy at 0 K**: 0.88 eV/atom
**Space group**: No. 12